#a
VASP calculation (GGA-PBE) on TmMg2Sn after structural relaxation.

Results
The mass density is 5.935 g cm⁻³.

CIF file:
```
data_TmMg2Sn
_chemical_formula_sum 'Tm1 Mg2 Sn1'
_cell_length_a 4.721
_cell_length_b 4.464
_cell_length_c 4.464
_cell_angle_alpha 90.00
_cell_angle_beta 90.00
_cell_angle_gamma 90.00
_space_group_name_H-M_alt 'P 1'
_space_group_IT_number 1
loop_
_space_group_symop_operation_xyz
'x,y,z'
loop_
_atom_site_label
_atom_site_fract_x
_atom_site_fract_y
_atom_site_fract_z
Mg1 0.000 0.000 0.500
Mg2 0.000 0.500 0.000
Tm1 0.500 0.500 0.500
Sn1 0.500 0.000 0.000
```

#b
VASP calculation (GGA-PBE) on TmMg2Sn after structural relaxation.

Results
The mass density is 5.712 g cm⁻³.

CIF file:
```
data_TmMg2Sn
_chemical_formula_sum 'Tm1 Mg2 Sn1'
_cell_length_a 5.170
_cell_length_b 5.170
_cell_length_c 5.171
_cell_angle_alpha 60.00
_cell_angle_beta 60.00
_cell_angle_gamma 60.00
_space_group_name_H-M_alt 'P 1'
_space_group_IT_number 1
loop_
_space_group_symop_operation_xyz
'x,y,z'
loop_
_atom_site_label
_atom_site_fract_x
_atom_site_fract_y
_atom_site_fract_z
Mg1 0.750 0.750 0.750
Mg2 0.250 0.250 0.250
Tm1 0.000 0.000 0.000
Sn1 0.500 0.500 0.500
```

Which structure is the least stable? The one labeled #b.

#a
VASP calculation (GGA-PBE) on TmMgZnSn after structural relaxation.

Results
The mass density is 7.180 g cm⁻³.

CIF file:
```
data_TmMgZnSn
_chemical_formula_sum 'Tm1 Mg1 Zn1 Sn1'
_cell_length_a 4.256
_cell_length_b 4.482
_cell_length_c 4.575
_cell_angle_alpha 90.00
_cell_angle_beta 90.00
_cell_angle_gamma 90.00
_space_group_name_H-M_alt 'P 1'
_space_group_IT_number 1
loop_
_space_group_symop_operation_xyz
'x,y,z'
loop_
_atom_site_label
_atom_site_fract_x
_atom_site_fract_y
_atom_site_fract_z
Tm1 0.500 0.500 0.000
Mg1 0.500 0.000 0.500
Zn1 0.000 0.500 0.500
Sn1 0.000 0.000 0.000
```

#b
VASP calculation (GGA-PBE) on TmMgZnSn after structural relaxation.

Results
The mass density is 6.992 g cm⁻³.

CIF file:
```
data_TmMgZnSn
_chemical_formula_sum 'Tm1 Mg1 Zn1 Sn1'
_cell_length_a 5.023
_cell_length_b 5.023
_cell_length_c 5.023
_cell_angle_alpha 60.00
_cell_angle_beta 60.00
_cell_angle_gamma 60.00
_space_group_name_H-M_alt 'P 1'
_space_group_IT_number 1
loop_
_space_group_symop_operation_xyz
'x,y,z'
loop_
_atom_site_label
_atom_site_fract_x
_atom_site_fract_y
_atom_site_fract_z
Mg1 0.750 0.750 0.750
Zn1 0.000 0.000 0.000
Tm1 0.250 0.250 0.250
Sn1 0.500 0.500 0.500
```

Which structure is the least stable? The one labeled #b.